Entry from Alexandria: an optimized crystal structure of TbCeHgSb (PBE).

Properties
Calculated volume ... 109 Å³/cell
Calculated total energy ... -4.339 eV/atom

a = 5.3658 Å, b = 5.3658 Å, c = 5.3658 Å
α = 60.00°, β = 60.00°, γ = 60.00°
Last column: nearest neighbours and their distance in Å.
Fractional positions:
Tb: 0.0000 0.0000 0.0000  4 Hg 3.29, 4 Sb 3.29
Ce: 0.5000 0.5000 0.5000  4 Hg 3.29, 4 Sb 3.29
Hg: 0.7500 0.7500 0.7500  4 Tb 3.29, 4 Ce 3.29
Sb: 0.2500 0.2500 0.2500  4 Tb 3.29, 4 Ce 3.29


Entry from Alexandria: an optimized crystal structure of Ce4HgSbTe2 (PBE).

Properties
Calculated volume ... 256 Å³/cell
Calculated total energy ... -5.268 eV/atom

a = 7.8028 Å, b = 4.4388 Å, c = 7.8056 Å
α = 90.00°, β = 108.90°, γ = 90.00°
Last column: nearest neighbours and their distance in Å.
Fractional positions:
Ce: 0.2478 0.0000 0.2469  2 Sb 3.16, 3 Te 3.17-3.19, 1 Hg 3.18
Ce: 0.2487 0.5000 0.7510  1 Sb 3.16, 2 Hg 3.17, 3 Te 3.17-3.19
Ce: 0.7513 0.5000 0.2490  1 Sb 3.16, 2 Hg 3.17, 3 Te 3.17-3.19
Ce: 0.7522 0.0000 0.7531  2 Sb 3.16, 3 Te 3.17-3.19, 1 Hg 3.18
Hg: 0.0000 0.0000 0.5000  6 Ce 3.17-3.18
Sb: 0.0000 0.5000 0.0000  6 Ce 3.16
Te: 0.5000 0.0000 0.0000  6 Ce 3.17
Te: 0.5000 0.5000 0.5000  6 Ce 3.19


Entry from Alexandria: an optimized crystal structure of CeThHgSb (PBE).

Properties
Calculated volume ... 113 Å³/cell
Calculated total energy ... -4.920 eV/atom

a = 5.4294 Å, b = 5.4294 Å, c = 5.4294 Å
α = 60.00°, β = 60.00°, γ = 60.00°
Last column: nearest neighbours and their distance in Å.
Fractional positions:
Ce: 0.0000 0.0000 0.0000  4 Hg 3.32, 4 Sb 3.32
Th: 0.5000 0.5000 0.5000  4 Hg 3.32, 4 Sb 3.32
Hg: 0.7500 0.7500 0.7500  4 Ce 3.32, 4 Th 3.32
Sb: 0.2500 0.2500 0.2500  4 Ce 3.32, 4 Th 3.32


Entry from Alexandria: an optimized crystal structure of CeScHg (PBE).

Properties
Polymorph energy (0 for the lowest one) ... 0 meV per atom
Calculated volume ... 149 Å³/cell
Energy relative to the elements ... -0.21 eV/atom

a = 5.2514 Å, b = 5.2514 Å, c = 6.2310 Å
α = 90.00°, β = 90.00°, γ = 120.00°
Last column: nearest neighbours and their distance in Å.
Fractional positions:
Ce: 0.0000 0.0000 0.0000  2 Ce 3.12, 6 Hg 3.41, 6 Sc 3.41
Ce: 0.0000 0.0000 0.5000  2 Ce 3.12, 6 Sc 3.41, 6 Hg 3.41
Sc: 0.3333 0.6667 0.2500  5 Hg 3.03-3.12
Sc: 0.6667 0.3333 0.7500  5 Hg 3.03-3.12
Hg: 0.3333 0.6667 0.7500  5 Sc 3.03-3.12
Hg: 0.6667 0.3333 0.2500  5 Sc 3.03-3.12


Magnetic moment values, unit μB per cell, following the record order: 1.6; 4.3; 1.8; 3.3.